Record 1
{
  "formula": "Y4AuC2S",
  "functional": "PBE-GGA",
  "state": "optimized geometry",
  "vol_a3_per_cell": 160,
  "final_energy_ev_per_atom": -7.353,
  "cell": [[3.703, 0.000, 0.000], [-1.851, 3.207, 0.000], [0.000, 0.000, 13.480]],
  "species": ["Au", "C", "C", "S", "Y", "Y", "Y", "Y"],
  "frac_coords": [[0.000, 0.000, 0.000], [0.333, 0.667, 0.259], [0.333, 0.667, 0.741], [0.667, 0.333, 0.500], [0.667, 0.333, 0.163], [0.000, 0.000, 0.361], [0.000, 0.000, 0.639], [0.667, 0.333, 0.837]]
}


Record 2
{
  "formula": "Y4AuC2S",
  "functional": "PBE-GGA",
  "state": "optimized geometry",
  "vol_a3_per_cell": 160,
  "final_energy_ev_per_atom": -7.353,
  "cell": [[-3.070, -2.069, 0.044], [3.312, -1.592, 0.454], [-0.986, 1.749, 13.330]],
  "species": ["Au", "C", "C", "S", "Y", "Y", "Y", "Y"],
  "frac_coords": [[0.333, 0.667, 0.500], [0.000, 0.000, 0.241], [0.000, 0.000, 0.759], [0.667, 0.333, 0.000], [0.333, 0.667, 0.139], [0.667, 0.333, 0.337], [0.667, 0.333, 0.663], [0.333, 0.667, 0.861]]
}


Record 3
{
  "formula": "Zr4AuC2S",
  "functional": "PBE-GGA",
  "state": "optimized geometry",
  "vol_a3_per_cell": 131,
  "final_energy_ev_per_atom": -8.501,
  "cell": [[-1.335, 1.842, -2.506], [0.695, -3.276, -0.492], [-12.177, -3.203, 4.133]],
  "species": ["Au", "C", "C", "S", "Zr", "Zr", "Zr", "Zr"],
  "frac_coords": [[0.000, 0.000, 0.000], [0.333, 0.667, 0.265], [0.333, 0.667, 0.735], [0.667, 0.333, 0.500], [0.667, 0.333, 0.171], [0.000, 0.000, 0.362], [0.000, 0.000, 0.638], [0.667, 0.333, 0.829]]
}


Record 4
{
  "formula": "Zr4AuC2S",
  "functional": "PBE-GGA",
  "state": "optimized geometry",
  "vol_a3_per_cell": 131,
  "final_energy_ev_per_atom": -8.501,
  "cell": [[3.385, 0.000, 0.000], [-1.692, 2.931, 0.000], [0.000, 0.000, 13.252]],
  "species": ["Au", "C", "C", "S", "Zr", "Zr", "Zr", "Zr"],
  "frac_coords": [[0.667, 0.333, 0.500], [0.333, 0.667, 0.235], [0.333, 0.667, 0.765], [0.000, 0.000, 0.000], [0.667, 0.333, 0.138], [0.000, 0.000, 0.329], [0.000, 0.000, 0.671], [0.667, 0.333, 0.862]]
}


Record 5
{
  "formula": "Y4SbAuC2",
  "functional": "PBE-GGA",
  "state": "optimized geometry",
  "vol_a3_per_cell": 172,
  "final_energy_ev_per_atom": -7.048,
  "cell": [[-1.454, 3.319, -0.648], [-1.946, -3.037, -0.733], [-5.485, 0.244, 13.553]],
  "species": ["Au", "C", "C", "Sb", "Y", "Y", "Y", "Y"],
  "frac_coords": [[0.333, 0.667, 0.500], [0.000, 0.000, 0.259], [0.000, 0.000, 0.741], [0.667, 0.333, 0.000], [0.333, 0.667, 0.167], [0.667, 0.333, 0.350], [0.667, 0.333, 0.650], [0.333, 0.667, 0.833]]
}


Record 6
{
  "formula": "Zr4SbAuC2",
  "functional": "PBE-GGA",
  "state": "optimized geometry",
  "vol_a3_per_cell": 141,
  "final_energy_ev_per_atom": -8.222,
  "cell": [[3.387, 0.000, 0.000], [-1.693, 2.933, 0.000], [0.000, 0.000, 14.233]],
  "species": ["Au", "C", "C", "Sb", "Zr", "Zr", "Zr", "Zr"],
  "frac_coords": [[0.000, 0.000, 0.500], [0.667, 0.333, 0.252], [0.667, 0.333, 0.748], [0.333, 0.667, 0.000], [0.000, 0.000, 0.163], [0.333, 0.667, 0.341], [0.333, 0.667, 0.659], [0.000, 0.000, 0.837]]
}


Record 7
{
  "formula": "Sc2AuC",
  "functional": "PBE-GGA",
  "state": "optimized geometry",
  "vol_a3_per_cell": 414,
  "final_energy_ev_per_atom": -6.867,
  "cell": [[-4.300, -1.302, -3.666], [1.202, -1.368, -5.510], [0.005, -14.576, 0.584]],
  "species": ["Au", "Au", "Au", "Au", "Au", "Au", "C", "C", "C", "C", "C", "C", "Sc", "Sc", "Sc", "Sc", "Sc", "Sc", "Sc", "Sc", "Sc", "Sc", "Sc", "Sc"],
  "frac_coords": [[0.107, 0.228, 0.250], [0.064, 0.750, 0.250], [0.585, 0.272, 0.250], [0.415, 0.728, 0.750], [0.936, 0.250, 0.750], [0.893, 0.772, 0.750], [0.663, 0.163, 0.000], [0.000, 0.500, 0.000], [0.337, 0.837, 0.000], [0.825, 0.337, 0.500], [0.500, 0.000, 0.500], [0.175, 0.663, 0.500], [0.306, 0.472, 0.083], [0.973, 0.139, 0.083], [0.635, 0.803, 0.093], [0.531, 0.697, 0.407], [0.195, 0.361, 0.417], [0.861, 0.028, 0.417], [0.139, 0.972, 0.583], [0.805, 0.639, 0.583], [0.469, 0.303, 0.593], [0.365, 0.197, 0.907], [0.027, 0.861, 0.917], [0.694, 0.528, 0.917]]
}


Record 8
{
  "formula": "Sc2AuC",
  "functional": "PBE-GGA",
  "state": "optimized geometry",
  "vol_a3_per_cell": 136,
  "final_energy_ev_per_atom": -6.897,
  "cell": [[-0.220, -0.301, -3.398], [-1.977, -1.925, 2.018], [-9.460, 9.478, -0.226]],
  "species": ["Au", "Au", "C", "C", "Sc", "Sc", "Sc", "Sc"],
  "frac_coords": [[0.667, 0.333, 0.250], [0.333, 0.667, 0.750], [0.000, 0.000, 0.000], [0.000, 0.000, 0.500], [0.333, 0.667, 0.089], [0.333, 0.667, 0.411], [0.667, 0.333, 0.589], [0.667, 0.333, 0.911]]
}


Record 9
{
  "formula": "Sc3AuC",
  "functional": "PBE-GGA",
  "state": "optimized geometry",
  "vol_a3_per_cell": 361,
  "final_energy_ev_per_atom": -6.955,
  "cell": [[-6.204, -1.070, 1.209], [1.277, -8.681, -1.134], [1.315, -0.617, 6.205]],
  "species": ["Au", "Au", "Au", "Au", "C", "C", "C", "C", "Sc", "Sc", "Sc", "Sc", "Sc", "Sc", "Sc", "Sc", "Sc", "Sc", "Sc", "Sc"],
  "frac_coords": [[0.505, 0.750, 0.009], [0.005, 0.750, 0.491], [0.995, 0.250, 0.509], [0.495, 0.250, 0.991], [0.000, 0.000, 0.000], [0.000, 0.500, 0.000], [0.500, 0.000, 0.500], [0.500, 0.500, 0.500], [0.001, 0.250, 0.075], [0.254, 0.539, 0.246], [0.254, 0.961, 0.246], [0.754, 0.539, 0.254], [0.754, 0.961, 0.254], [0.501, 0.250, 0.425], [0.499, 0.750, 0.575], [0.246, 0.039, 0.746], [0.246, 0.461, 0.746], [0.746, 0.039, 0.754], [0.746, 0.461, 0.754], [0.999, 0.750, 0.925]]
}


Record 10
{
  "formula": "Sc3AuC",
  "functional": "PBE-GGA",
  "state": "optimized geometry",
  "vol_a3_per_cell": 91,
  "final_energy_ev_per_atom": -6.915,
  "cell": [[4.490, 0.000, 0.000], [0.000, 4.490, 0.000], [0.000, 0.000, 4.490]],
  "species": ["Au", "C", "Sc", "Sc", "Sc"],
  "frac_coords": [[0.000, 0.000, 0.000], [0.500, 0.500, 0.500], [0.500, 0.500, 0.000], [0.500, 0.000, 0.500], [0.000, 0.500, 0.500]]
}


Record 11
{
  "formula": "Sc3AuC2",
  "functional": "PBE-GGA",
  "state": "optimized geometry",
  "vol_a3_per_cell": 189,
  "final_energy_ev_per_atom": -7.345,
  "cell": [[3.378, 0.000, 0.000], [-1.689, 2.925, 0.000], [0.000, 0.000, 19.130]],
  "species": ["Au", "Au", "C", "C", "C", "C", "Sc", "Sc", "Sc", "Sc", "Sc", "Sc"],
  "frac_coords": [[0.000, 0.000, 0.250], [0.000, 0.000, 0.750], [0.333, 0.667, 0.075], [0.333, 0.667, 0.425], [0.667, 0.333, 0.575], [0.667, 0.333, 0.925], [0.000, 0.000, 0.000], [0.667, 0.333, 0.131], [0.667, 0.333, 0.369], [0.000, 0.000, 0.500], [0.333, 0.667, 0.631], [0.333, 0.667, 0.869]]
}


Record 12
{
  "formula": "Sc2Ta4Au3C3",
  "functional": "PBE-GGA",
  "state": "optimized geometry",
  "vol_a3_per_cell": 374,
  "final_energy_ev_per_atom": -8.682,
  "cell": [[4.831, -2.782, 0.000], [4.831, 2.782, 0.000], [-3.279, 0.000, 13.914]],
  "species": ["Au", "Au", "Au", "Au", "Au", "Au", "C", "C", "C", "C", "C", "C", "Sc", "Sc", "Sc", "Sc", "Ta", "Ta", "Ta", "Ta", "Ta", "Ta", "Ta", "Ta"],
  "frac_coords": [[0.412, 0.183, 0.248], [0.005, 0.995, 0.250], [0.817, 0.588, 0.252], [0.183, 0.412, 0.748], [0.995, 0.005, 0.750], [0.588, 0.817, 0.752], [0.000, 0.500, 0.000], [0.331, 0.838, 0.000], [0.162, 0.669, 0.500], [0.500, 0.000, 0.500], [0.838, 0.331, 0.500], [0.669, 0.162, 0.000], [0.375, 0.536, 0.105], [0.464, 0.625, 0.395], [0.536, 0.375, 0.605], [0.625, 0.464, 0.895], [0.017, 0.203, 0.081], [0.693, 0.852, 0.081], [0.148, 0.307, 0.419], [0.797, 0.983, 0.419], [0.203, 0.017, 0.581], [0.852, 0.693, 0.581], [0.307, 0.148, 0.919], [0.983, 0.797, 0.920]]
}